The following is a PBE+U calculation of a geometry-optimized Nb2WO8 structure, from Alexandria via LeMat-Bulk.

Cell: 10.5675 10.5675 5.1566 Å, 89.30 89.30 33.81°
Atoms (fractional coordinates):
Nb 0.3130 0.9518 0.7594
Nb 0.0482 0.6870 0.7406
Nb 0.6870 0.0482 0.2406
Nb 0.9518 0.3130 0.2594
W 0.6590 0.3410 0.7500
W 0.3410 0.6590 0.2500
O 0.2135 0.9004 0.0841
O 0.0996 0.7865 0.4159
O 0.7865 0.0996 0.9159
O 0.9004 0.2135 0.5841
O 0.4425 0.6604 0.5691
O 0.3396 0.5575 0.9309
O 0.5575 0.3396 0.4309
O 0.6604 0.4425 0.0691
O 0.2490 0.0752 0.4272
O 0.9248 0.7510 0.0728
O 0.8045 0.5667 0.3647
O 0.4333 0.1955 0.1353
O 0.1955 0.4333 0.6353
O 0.5667 0.8045 0.8647
O 0.0752 0.2490 0.9272
O 0.7510 0.9248 0.5728

## Properties
**Mass density**: 5.16 Mg/m³
**Density of states at the Fermi level**: 0.000 states/eV/atom
**Total moment**: 0.00 μB/atom
**DFT total energy**: -181.35 eV/cell